No. 1
The following is a PBE calculation of crystalline PmTm2ZrSc4 at its relaxed geometry, from Alexandria via LeMat-Bulk.

Lattice parameters (Å, degrees): 5.418 5.420 9.051 53.24 90.00 90.00
Atoms (fractional coordinates):
Tm (0.500, 0.000, 0.500)
Sc (0.000, 0.769, 0.731)
Pm (0.500, 0.500, 0.000)
Sc (0.500, 0.732, 0.268)
Sc (0.000, 0.231, 0.269)
Sc (0.500, 0.268, 0.732)
Tm (0.000, 0.000, 0.000)
Zr (0.000, 0.500, 0.500)

Summary:
**Formation energy from the elements**: 0.106 eV/atom
**Total DFT energy (no corrections)**: -5.84 eV/atom
**Fermi-level density of states**: 1.811 states/eV per atom
**V**: 212.91 Å³/cell



No. 2
The following is a PBE calculation of crystalline Cs2HfI2Cl4 at its relaxed geometry, from Alexandria via LeMat-Bulk.

Lattice parameters (Å, degrees): 7.904 7.904 7.904 91.98 118.86 118.86
Atoms (fractional coordinates):
Cl (0.000, 0.216, 0.784)
I (0.000, 0.263, 0.263)
Cl (0.000, 0.784, 0.216)
Cl (0.431, 0.216, 0.216)
Cs (0.500, 0.250, 0.750)
I (0.000, 0.737, 0.737)
Cs (0.500, 0.750, 0.250)
Cl (0.569, 0.784, 0.784)
Hf (0.000, 0.000, 0.000)

Summary:
**Energy relative to the elements, uncorrected**: -1.766 eV/atom
**Total DFT energy (no corrections)**: -4.23 eV/atom
**Fermi-level density of states**: 0.000 states/eV per atom
**V**: 354.95 Å³/cell